The following is a DFT calculation (PBE) of an optimized crystal structure of As4C.

## Properties
- Formation energy from the elements: 0.95 eV per atom
- Density of states at the Fermi level: 0.3358 states/eV per atom

```
data_As4C
_chemical_formula_sum 'As4 C1'
_cell_length_a 3.6864
_cell_length_b 3.6864
_cell_length_c 11.0120
_cell_angle_alpha 90.00
_cell_angle_beta 90.00
_cell_angle_gamma 120.00
_space_group_name_H-M_alt 'P -3 m 1'
_space_group_IT_number 164
_space_group_name_Hall '-P 3 2"'
loop_
_atom_site_label
_atom_site_type_symbol
_atom_site_fract_x
_atom_site_fract_y
_atom_site_fract_z
As1 As 0.3333 0.6667 0.0625
As2 As 0.3333 0.6667 0.4244
C1 C 0.0000 0.0000 0.5000
```

The following is a DFT calculation (PBE) of an optimized crystal structure of AsC.

## Properties
- Formation energy from the elements: 0.67 eV per atom

```
data_AsC
_chemical_formula_sum 'As4 C4'
_cell_length_a 11.1220
_cell_length_b 3.9203
_cell_length_c 4.1876
_cell_angle_alpha 90.00
_cell_angle_beta 103.20
_cell_angle_gamma 90.00
_space_group_name_H-M_alt 'C 1 2/m 1'
_space_group_IT_number 12
_space_group_name_Hall '-C 2y'
loop_
_atom_site_label
_atom_site_type_symbol
_atom_site_fract_x
_atom_site_fract_y
_atom_site_fract_z
As1 As 0.0835 0.0000 0.2609
C1 C 0.0000 0.3300 0.5000
```

The following is a DFT calculation (PBE) of an optimized crystal structure of AsC.

## Properties
- Formation energy from the elements: 1.42 eV per atom
- Density of states at the Fermi level: 0.4229 states/eV per atom

```
data_AsC
_chemical_formula_sum 'As2 C2'
_cell_length_a 3.1907
_cell_length_b 4.2861
_cell_length_c 4.4960
_cell_angle_alpha 90.00
_cell_angle_beta 90.00
_cell_angle_gamma 90.00
_space_group_name_H-M_alt 'P m m n'
_space_group_IT_number 59
loop_
_space_group_symop_operation_xyz
'x,y,z'
'-x,-y,-z'
'-x+1/2,-y+1/2,z'
'x+1/2,y+1/2,-z'
'x+1/2,-y,-z'
'-x+1/2,y,z'
'-x,y+1/2,-z'
'x,-y+1/2,z'
loop_
_atom_site_label
_atom_site_type_symbol
_atom_site_fract_x
_atom_site_fract_y
_atom_site_fract_z
As1 As 0.2500 0.2500 0.1928
C1 C 0.2500 0.7500 0.0776
```

The following is a DFT calculation (PBE) of an optimized crystal structure of AsC.

## Properties
- Formation energy from the elements: 1.80 eV per atom
- Density of states at the Fermi level: 0.3370 states/eV per atom

```
data_AsC
_chemical_formula_sum 'As1 C1'
_cell_length_a 3.0725
_cell_length_b 3.0725
_cell_length_c 2.8740
_cell_angle_alpha 90.00
_cell_angle_beta 90.00
_cell_angle_gamma 120.00
_space_group_name_H-M_alt 'P -6 m 2'
_space_group_IT_number 187
_space_group_name_Hall 'P -6 2'
loop_
_atom_site_label
_atom_site_type_symbol
_atom_site_fract_x
_atom_site_fract_y
_atom_site_fract_z
As1 As 0.0000 0.0000 0.0000
C1 C 0.3333 0.6667 0.5000
```

Computed polymorph energy (0 for the lowest one) (meV per atom) in order:
0, 126, 884, 1263
Computed electronic total energy (eV/atom) in order:
-4.62, -6.27, -5.51, -5.13
Computed total magnetic moment (μB per cell) in order:
0.00, 0.00, 0.00, 0.00